DFT (PBEsol) results for an optimized crystal structure of InCl2.

Lattice parameters (Å, degrees): 3.4808 3.4808 11.7548 90.00 90.00 90.00
Space group I4/mmm (No. 139)
Symmetry-distinct sites (fractional):
In  0.0000  0.0000  0.0000 x2
Cl  0.0000  0.0000  0.3693 x4

Raw total energy in eV per atom: -2.9876